Material: Nd3GaSCl
Method: DFT, PBE
State: optimized geometry

CIF file:
```
data_Nd3GaSCl
_cell_length_a 7.8122
_cell_length_b 3.9925
_cell_length_c 11.0334
_cell_angle_alpha 90.00
_cell_angle_beta 107.78
_cell_angle_gamma 90.00
_space_group_name_H-M_alt 'P 1 21/m 1'
_space_group_IT_number 11
loop_
_space_group_symop_operation_xyz
'x,y,z'
'-x,-y,-z'
'-x,y+1/2,-z'
'x,-y+1/2,z'
loop_
_atom_site_label
_atom_site_type_symbol
_atom_site_fract_x
_atom_site_fract_y
_atom_site_fract_z
Nd1 Nd 0.1739 0.2500 0.1459
Nd2 Nd 0.2108 0.2500 0.4921
Nd3 Nd 0.3195 0.7500 0.8393
Ga1 Ga 0.0149 0.2500 0.7048
S1 S 0.4039 0.7500 0.1057
Cl1 Cl 0.4779 0.7500 0.6252
```

Output
The final energy comes out at -5.189 eV per atom. The value obtained for the uncorrected formation energy is -1305 meV per atom. Its spin magnetization is 0.00 μB per formula unit.

=====

Material: Nd6GaSi2Cl3
Method: DFT, PBE
State: optimized geometry

CIF file:
```
data_Nd6GaSi2Cl3
_cell_length_a 18.5451
_cell_length_b 4.2357
_cell_length_c 8.5157
_cell_angle_alpha 90.00
_cell_angle_beta 102.55
_cell_angle_gamma 90.00
_space_group_name_H-M_alt 'C 1 2/m 1'
_space_group_IT_number 12
loop_
_space_group_symop_operation_xyz
'x,y,z'
'-x,-y,-z'
'-x,y,-z'
'x,-y,z'
'x+1/2,y+1/2,z'
'-x+1/2,-y+1/2,-z'
'-x+1/2,y+1/2,-z'
'x+1/2,-y+1/2,z'
loop_
_atom_site_label
_atom_site_type_symbol
_atom_site_fract_x
_atom_site_fract_y
_atom_site_fract_z
Nd1 Nd 0.0050 0.0000 0.2453
Nd2 Nd 0.1632 0.5000 0.0977
Nd3 Nd 0.1729 0.5000 0.5713
Ga1 Ga 0.0000 0.5000 0.0000
Si1 Si 0.1665 0.0000 0.3339
Cl1 Cl 0.0000 0.5000 0.5000
Cl2 Cl 0.1678 0.0000 0.8331
```

Output
The final energy comes out at -5.123 eV per atom. The value obtained for the uncorrected formation energy is -1121 meV per atom. Its spin magnetization is 0.00 μB per formula unit.

=====

Material: Nd4GaSiCl2
Method: DFT, PBE
State: optimized geometry

CIF file:
```
data_Nd4GaSiCl2
_cell_length_a 7.3179
_cell_length_b 4.2308
_cell_length_c 7.4662
_cell_angle_alpha 90.00
_cell_angle_beta 109.69
_cell_angle_gamma 90.00
_space_group_name_H-M_alt 'P 1 2/m 1'
_space_group_IT_number 10
loop_
_space_group_symop_operation_xyz
'x,y,z'
'-x,-y,-z'
'-x,y,-z'
'x,-y,z'
loop_
_atom_site_label
_atom_site_type_symbol
_atom_site_fract_x
_atom_site_fract_y
_atom_site_fract_z
Nd1 Nd 0.2300 0.0000 0.2418
Nd2 Nd 0.2347 0.5000 0.7504
Ga1 Ga 0.0000 0.0000 0.5000
Si1 Si 0.0000 0.5000 0.0000
Cl1 Cl 0.5000 0.0000 0.0000
Cl2 Cl 0.5000 0.5000 0.5000
```

Output
The final energy comes out at -4.993 eV per atom. The value obtained for the uncorrected formation energy is -1091 meV per atom. Its spin magnetization is 0.00 μB per formula unit.

=====

Material: Nd6GaTc2Cl3
Method: DFT, PBE
State: optimized geometry

CIF file:
```
data_Nd6GaTc2Cl3
_cell_length_a 7.1753
_cell_length_b 10.7667
_cell_length_c 8.4087
_cell_angle_alpha 90.00
_cell_angle_beta 99.53
_cell_angle_gamma 90.00
_space_group_name_H-M_alt 'C 1 2/m 1'
_space_group_IT_number 12
loop_
_space_group_symop_operation_xyz
'x,y,z'
'-x,-y,-z'
'-x,y,-z'
'x,-y,z'
'x+1/2,y+1/2,z'
'-x+1/2,-y+1/2,-z'
'-x+1/2,y+1/2,-z'
'x+1/2,-y+1/2,z'
loop_
_atom_site_label
_atom_site_type_symbol
_atom_site_fract_x
_atom_site_fract_y
_atom_site_fract_z
Nd1 Nd 0.1811 0.0000 0.1587
Nd2 Nd 0.2241 0.1765 0.7530
Ga1 Ga 0.0000 0.5000 0.0000
Tc1 Tc 0.0000 0.2524 0.0000
Cl1 Cl 0.0000 0.0000 0.5000
Cl2 Cl 0.0000 0.3396 0.5000
```

Output
The final energy comes out at -5.579 eV per atom. The value obtained for the uncorrected formation energy is -754 meV per atom. Its spin magnetization is 0.00 μB per formula unit.

=====

Material: NdTl2GaCl6
Method: DFT, PBE
State: optimized geometry

CIF file:
```
data_NdTl2GaCl6
_cell_length_a 7.7995
_cell_length_b 7.7995
_cell_length_c 19.6465
_cell_angle_alpha 90.00
_cell_angle_beta 90.00
_cell_angle_gamma 120.00
_space_group_name_H-M_alt 'R 3'
_space_group_IT_number 146
_space_group_name_Hall 'R 3'
loop_
_atom_site_label
_atom_site_type_symbol
_atom_site_fract_x
_atom_site_fract_y
_atom_site_fract_z
Nd1 Nd 0.0000 0.0000 0.0000
Tl1 Tl 0.0000 0.0000 0.2917
Tl2 Tl 0.0000 0.0000 0.7856
Ga1 Ga 0.0000 0.0000 0.5069
Cl1 Cl 0.0048 0.4076 0.7390
Cl2 Cl 0.0821 0.7121 0.5778
```

Output
The final energy comes out at -3.830 eV per atom. The value obtained for the uncorrected formation energy is -1469 meV per atom. Its spin magnetization is 0.00 μB per formula unit.

=====

Material: GaNiCl2
Method: DFT, PBE
State: optimized geometry

CIF file:
```
data_GaNiCl2
_cell_length_a 8.3907
_cell_length_b 8.3907
_cell_length_c 5.0842
_cell_angle_alpha 90.00
_cell_angle_beta 90.00
_cell_angle_gamma 90.00
_space_group_name_H-M_alt 'I -4 2 d'
_space_group_IT_number 122
_space_group_name_Hall 'I -4 2bw'
loop_
_atom_site_label
_atom_site_type_symbol
_atom_site_fract_x
_atom_site_fract_y
_atom_site_fract_z
Ga1 Ga 0.0000 0.0000 0.0000
Ni1 Ni 0.0000 0.0000 0.5000
Cl1 Cl 0.1043 0.7500 0.6250
```

Output
The final energy comes out at -3.515 eV per atom. The value obtained for the uncorrected formation energy is -389 meV per atom. Its spin magnetization is 1.01 μB per formula unit. Its polymorph energy (0 for the lowest one) is 0.00 kcal/mol of atoms.

=====

Material: GaNi2Cl2
Method: DFT, PBE
State: optimized geometry

CIF file:
```
data_GaNi2Cl2
_cell_length_a 3.4537
_cell_length_b 3.4537
_cell_length_c 15.1097
_cell_angle_alpha 90.00
_cell_angle_beta 90.00
_cell_angle_gamma 90.00
_space_group_name_H-M_alt 'I 4/m m m'
_space_group_IT_number 139
_space_group_name_Hall '-I 4 2'
loop_
_atom_site_label
_atom_site_type_symbol
_atom_site_fract_x
_atom_site_fract_y
_atom_site_fract_z
Ga1 Ga 0.0000 0.0000 0.0000
Ni1 Ni 0.0000 0.5000 0.2500
Cl1 Cl 0.0000 0.0000 0.3654
```

Output
The final energy comes out at -3.571 eV per atom. The value obtained for the uncorrected formation energy is 85 meV per atom. Its spin magnetization is 0.95 μB per formula unit. Its polymorph energy (0 for the lowest one) is 0.00 kcal/mol of atoms.

=====

Material: GaNiCl2
Method: DFT, PBE
State: optimized geometry

CIF file:
```
data_GaNiCl2
_cell_length_a 6.7776
_cell_length_b 6.7776
_cell_length_c 6.7776
_cell_angle_alpha 90.00
_cell_angle_beta 90.00
_cell_angle_gamma 90.00
_space_group_name_H-M_alt 'F m -3 m'
_space_group_IT_number 225
_space_group_name_Hall '-F 4 2 3'
loop_
_atom_site_label
_atom_site_type_symbol
_atom_site_fract_x
_atom_site_fract_y
_atom_site_fract_z
Ga1 Ga 0.0000 0.0000 0.0000
Ni1 Ni 0.0000 0.0000 0.5000
Cl1 Cl 0.2500 0.2500 0.2500
```

Output
The final energy comes out at -3.069 eV per atom. The value obtained for the uncorrected formation energy is 56 meV per atom. Its spin magnetization is 1.00 μB per formula unit. Its polymorph energy (0 for the lowest one) is 10.28 kcal/mol of atoms.